HoAg2Pd: relaxed, PBE.

Lattice parameters (Å, degrees): 4.805 4.805 4.805 60.00 60.00 60.00
Fractional positions:
Ho 0.000 0.000 0.000
Ag 0.750 0.750 0.750
Ag 0.250 0.250 0.250
Pd 0.500 0.500 0.500

Values from the calculation:
- space-group type = Fm-3m
- spin magnetization (μB/cell) = 0.0
- energy relative to the elements (kJ/mol of atoms) = -32.90
- relative energy among the computed polymorphs (meV/atom) = 152


TmTh2Sc2: relaxed, PBE.

Lattice parameters (Å, degrees): 6.107 6.107 10.891 97.10 97.10 124.00
Fractional positions:
Tm 0.750 0.250 0.500
Tm 0.500 0.500 0.000
Th 0.091 0.909 0.500
Th 0.841 0.159 0.000
Th 0.409 0.591 0.500
Th 0.159 0.841 0.000
Sc 0.625 0.375 0.750
Sc 0.625 0.375 0.250
Sc 0.625 0.875 0.250
Sc 0.125 0.375 0.750

Values from the calculation:
- space-group type = Fddd
- spin magnetization (μB/cell) = 0.0
- energy relative to the elements (kJ/mol of atoms) = 52.52
- relative energy among the computed polymorphs (meV/atom) = 517